<A>
## Ta3CrW (PBE)

Data for an optimized crystal structure of Ta3CrW.

abc: 4.5512 4.5512 4.5512
angles: 90.00 90.00 90.00
Closest atoms and distances in Å follow each position.
Positions (direct):
Ta (0.0000, 0.0000, 0.5000)  2 Cr 2.28
Ta (0.0000, 0.5000, 0.0000)  2 Cr 2.28
Ta (0.5000, 0.0000, 0.0000)  2 Cr 2.28
Cr (0.0000, 0.0000, 0.0000)  6 Ta 2.28
W (0.5000, 0.5000, 0.5000)  12 Ta 3.22

Properties
symmetry: Pm-3m, No. 221

=====

<B>
## Ta3CrW (PBE)

Data for an optimized crystal structure of Ta3CrW.

abc: 4.8222 4.8222 4.8222
angles: 90.00 90.00 90.00
Closest atoms and distances in Å follow each position.
Positions (direct):
Ta (0.0000, 0.0000, 0.5000)  2 W 2.41
Ta (0.0000, 0.5000, 0.0000)  2 W 2.41
Ta (0.5000, 0.0000, 0.0000)  2 W 2.41
Cr (0.5000, 0.5000, 0.5000)  12 Ta 3.41
W (0.0000, 0.0000, 0.0000)  6 Ta 2.41

Properties
symmetry: Pm-3m, No. 221

=====

Short version: <B> is the least stable of them.